This record from Alexandria describes SnAuSeN2 after structural relaxation. The functional is PBE.

Uncorrected formation energy ... 1.33 eV/atom
DOS at the Fermi energy ... 3.302 states/eV/cell
DFT total energy ... -20.78 eV per cell
Excess energy over the best structure of this formula in the dataset ... 0.00 kJ/mol of atoms

Cell: 4.0648 4.0648 5.9042 Å, 90.00 90.00 90.00°
Last column: nearest neighbours and their distance in Å.
Atoms (fractional coordinates):
Au 0.5000 0.5000 0.5000  4 Se 2.87
Se 0.0000 0.0000 0.5000  4 Au 2.87, 2 Sn 2.95
N 0.5000 0.0000 0.0000  2 Sn 2.03
N 0.0000 0.5000 0.0000  2 Sn 2.03
Sn 0.0000 0.0000 0.0000  4 N 2.03